[1]
Material: NaSb3Pt
Method: DFT, PBE-GGA
State: optimized geometry

Unit cell a=6.0578 b=6.0070 c=7.1530 alpha=90.00 beta=89.98 gamma=90.00
Sites, in units of the cell vectors:
1 Na 0.4434 0.3678 0.7001
2 Na 0.9435 0.9850 0.1999
3 Sb 0.3452 0.2927 0.2009
4 Sb 0.4651 0.8821 0.9514
5 Sb 0.9650 0.4707 0.4514
6 Sb 0.8452 0.0601 0.7008
7 Sb 0.9650 0.4705 0.9506
8 Sb 0.4650 0.8823 0.4506
9 Pt 0.1594 0.7481 0.7011
10 Pt 0.6594 0.6047 0.2011

Calculated values
Its crystal system is monoclinic. The offset from the most stable computed form is 0.00 eV per formula unit. The formation energy from raw total energies comes out at -306 meV per atom. As for the magnetization: 0.00 μB/f.u. Its theoretical density is 7.44 Mg/m³. As for the density of states at the Fermi level: 1.45 states/eV/f.u.


[2]
Material: Tl4IrRh
Method: DFT, PBE-GGA
State: optimized geometry

Unit cell a=5.9456 b=5.9456 c=5.9456 alpha=60.00 beta=60.00 gamma=60.00
Last column: magnetic moment on the atom in μB.
Sites, in units of the cell vectors:
1 Tl 0.8748 0.3751 0.3751  0.01
2 Tl 0.3751 0.3751 0.8748  0.01
3 Tl 0.3751 0.8748 0.3751  0.01
4 Tl 0.3751 0.3751 0.3751  0.01
5 Ir 0.7500 0.7500 0.7500  0.48
6 Rh 0.0000 0.0000 0.0000  0.75

Calculated values
Its formation energy is 1.17 eV/atom. Its crystal system is cubic. As for the magnetization: 1.32 μB/f.u. Its theoretical density is 12.43 Mg/m³. As for the density of states at the Fermi level: 8.93 states/eV/f.u.


[3]
Material: HgSbAu2
Method: DFT, PBE-GGA
State: optimized geometry

Unit cell a=3.5256 b=3.5256 c=7.1482 alpha=90.00 beta=90.00 gamma=90.00
Sites, in units of the cell vectors:
1 Au 0.0000 0.0000 0.0133
2 Au 0.5000 0.5000 0.2270
3 Hg 0.0000 0.0000 0.4665
4 Sb 0.5000 0.5000 0.7932

Calculated values
Its crystal system is tetragonal. The offset from the most stable computed form is 0.39 eV per formula unit. The formation energy from raw total energies comes out at 120 meV per atom. As for the magnetization: 0.00 μB/f.u. Its theoretical density is 13.39 Mg/m³. As for the density of states at the Fermi level: 1.12 states/eV/f.u.


[4]
Material: AgMoBr2
Method: DFT, PBE-GGA
State: optimized geometry

Unit cell a=3.1382 b=3.1382 c=9.9382 alpha=90.00 beta=90.00 gamma=90.00
Last column: magnetic moment on the atom in μB.
Sites, in units of the cell vectors:
1 Mo 0.5000 0.5000 0.2500  0.45
2 Br 0.0000 0.0000 0.0891  0.01
3 Br 0.0000 0.0000 0.4109  0.01
4 Ag 0.5000 0.5000 0.7500  0.00

Calculated values
Its crystal system is tetragonal. The offset from the most stable computed form is 1.23 eV per formula unit. The formation energy from raw total energies comes out at 451 meV per atom. As for the magnetization: 0.52 μB/f.u. Its theoretical density is 6.17 Mg/m³. As for the density of states at the Fermi level: 2.88 states/eV/f.u.


[5]
Material: Cr2CuRu
Method: DFT, PBE-GGA
State: optimized geometry

Unit cell a=8.7321 b=8.7321 c=8.7321 alpha=17.13 beta=17.13 gamma=17.13
Sites, in units of the cell vectors:
1 Cr 0.0003 0.0003 0.0003
2 Cr 0.4997 0.4997 0.4997
3 Cu 0.2500 0.2500 0.2500
4 Ru 0.7500 0.7500 0.7500

Calculated values
Its formation energy is 0.28 eV/atom. Its crystal system is trigonal. As for the magnetization: 0.00 μB/f.u. Its theoretical density is 8.85 Mg/m³. As for the density of states at the Fermi level: 3.38 states/eV/f.u.


[6]
Material: Np2TlS3
Method: DFT, PBE-GGA
State: optimized geometry

Unit cell a=3.9899 b=3.9899 c=21.5905 alpha=90.00 beta=90.00 gamma=120.00
Last column: magnetic moment on the atom in μB.
Sites, in units of the cell vectors:
1 Np 0.3333 0.6667 0.9260  3.95
2 Np 0.6667 0.3333 0.0740  3.95
3 Np 0.6667 0.3333 0.4260  3.95
4 Np 0.3333 0.6667 0.5740  3.95
5 Tl 0.0000 0.0000 0.2500  0.02
6 Tl 0.0000 0.0000 0.7500  0.02
7 S 0.0000 0.0000 0.0000  -0.11
8 S 0.3333 0.6667 0.1419  -0.08
9 S 0.3333 0.6667 0.3581  -0.08
10 S 0.0000 0.0000 0.5000  -0.11
11 S 0.6667 0.3333 0.6419  -0.08
12 S 0.6667 0.3333 0.8581  -0.08

Calculated values
Its crystal system is hexagonal. The formation energy from raw total energies comes out at -1130 meV per atom. As for the magnetization: 8.47 μB/f.u. Its theoretical density is 8.64 Mg/m³. As for the density of states at the Fermi level: 16.66 states/eV/f.u.


[7]
Material: LaCd2Au
Method: DFT, PBE-GGA
State: optimized geometry

Unit cell a=6.0532 b=6.0532 c=5.2440 alpha=64.03 beta=64.03 gamma=36.61
Sites, in units of the cell vectors:
1 Cd 0.9723 0.9723 0.0277
2 Cd 0.5277 0.5277 0.4723
3 Au 0.2500 0.2500 0.2500
4 La 0.7500 0.7500 0.7500

Calculated values
Its formation energy is -0.36 eV/atom. Its crystal system is monoclinic. As for the magnetization: 0.00 μB/f.u. Its theoretical density is 9.16 Mg/m³. As for the density of states at the Fermi level: 2.02 states/eV/f.u.


[8]
Material: Tl3Pd3Pb5
Method: DFT, PBE-GGA
State: optimized geometry

Unit cell a=4.8150 b=8.9018 c=8.9018 alpha=120.00 beta=90.00 gamma=90.00
Sites, in units of the cell vectors:
1 Tl 0.0000 0.4914 0.4914
2 Tl 0.0000 0.5086 0.0000
3 Tl 0.0000 0.0000 0.5086
4 Pd 0.5000 0.6504 0.6504
5 Pd 0.5000 0.0000 0.3496
6 Pd 0.5000 0.3496 0.0000
7 Pb 0.5000 0.3333 0.6667
8 Pb 0.5000 0.6667 0.3333
9 Pb 0.5000 0.2318 0.2318
10 Pb 0.5000 0.0000 0.7682
11 Pb 0.5000 0.7682 0.0000

Calculated values
Its formation energy is 0.03 eV/atom. Its crystal system is hexagonal. As for the magnetization: 0.00 μB/f.u. Its theoretical density is 9.89 Mg/m³. As for the density of states at the Fermi level: 5.17 states/eV/f.u.